# K3PmTe2O9

A geometry-optimized K3PmTe2O9 structure (PBE, the Alexandria database).

Calculated values
* symmetry: P-3m1, No. 164
* raw formation energy: -1.666 eV per atom
* crystal system: trigonal
* magnetization: 0.00 μB/cell

abc: 5.8859 5.8859 7.2977
angles: 90.00 90.00 120.00
Closest atoms and distances in Å follow each position.
Element x y z (fractional)
K  0.0000  0.0000  0.0000  12 O 2.89-2.94
K  0.3333  0.6667  0.6720  12 O 2.94-3.09
K  0.6667  0.3333  0.3280  12 O 2.94-3.09
Pm  0.0000  0.0000  0.5000  6 O 2.29
Te  0.3333  0.6667  0.1638  6 O 1.90-2.08
Te  0.6667  0.3333  0.8362  6 O 1.90-2.08
O  0.0000  0.5000  0.0000  2 Te 2.08
O  0.1781  0.3562  0.3076  1 Te 1.90
O  0.1781  0.8219  0.3076  1 Te 1.90
O  0.3562  0.1781  0.6924  1 Te 1.90
O  0.5000  0.0000  0.0000  2 Te 2.08
O  0.5000  0.5000  0.0000  2 Te 2.08
O  0.6438  0.8219  0.3076  1 Te 1.90
O  0.8219  0.1781  0.6924  1 Te 1.90
O  0.8219  0.6438  0.6924  1 Te 1.90